The following is a PBE calculation of a geometry-optimized BPBr3 structure, from the Alexandria database.

POSCAR file:
```
BPBr3
1.0
-0.931 3.691 -3.446
-4.692 0.662 1.977
1.865 3.507 3.252
B P Br
1 1 3
Direct
0.500 0.500 0.500
0.000 0.000 0.000
0.000 0.500 0.000
0.000 0.000 0.500
0.500 0.000 0.000
```

Properties
size of the total moment = 0.15 μB/f.u.
formation energy (no corrections) = 0.944 eV/atom
calculated total energy = -12.38 eV for the cell shown

=====

The following is a PBE calculation of a geometry-optimized ZnBiH6Ru2 structure, from the Alexandria database.

POSCAR file:
```
ZnBiH6Ru2
1.0
-6.565 -0.190 0.871
1.993 -6.317 0.141
1.490 1.539 4.549
Zn Bi H Ru
2 2 12 4
Direct
0.699 0.301 0.250
0.301 0.699 0.750
0.111 0.889 0.250
0.889 0.111 0.750
0.034 0.447 0.159
0.553 0.966 0.341
0.966 0.553 0.841
0.447 0.034 0.659
0.296 0.312 0.181
0.688 0.704 0.319
0.704 0.688 0.819
0.312 0.296 0.681
0.322 0.533 0.434
0.467 0.678 0.066
0.678 0.467 0.566
0.533 0.322 0.934
0.320 0.110 0.884
0.890 0.680 0.616
0.680 0.890 0.116
0.110 0.320 0.384
```

Properties
size of the total moment = 0.00 μB/f.u.
calculated total energy = -85.39 eV for the cell shown

=====

The following is a PBE calculation of a geometry-optimized Ta7Mn structure, from the Alexandria database.

POSCAR file:
```
Ta7Mn
1.0
0.000 4.175 4.175
4.175 0.000 4.175
4.175 4.175 0.000
Ta Mn
7 1
Direct
0.000 0.500 0.500
0.500 0.000 0.500
0.500 0.500 0.000
0.000 0.000 0.500
0.000 0.500 0.000
0.500 0.000 0.000
0.500 0.500 0.500
0.000 0.000 0.000
```

Properties
energy of formation from the pure elements = 0.259 eV per atom
size of the total moment = 3.42 μB/f.u.
calculated total energy = -90.06 eV for the cell shown

=====

The following is a PBE calculation of a geometry-optimized Tm4Te3Se structure, from the Alexandria database.

POSCAR file:
```
Tm4Te3Se
1.0
7.721 0.000 0.000
0.000 7.925 0.000
0.000 0.000 9.265
Tm Te Se
8 6 2
Direct
0.153 0.901 0.000
0.546 0.155 0.000
0.157 0.287 0.197
0.657 0.713 0.303
0.046 0.845 0.500
0.653 0.099 0.500
0.657 0.713 0.697
0.157 0.287 0.803
0.527 0.779 0.000
0.030 0.649 0.224
0.530 0.351 0.276
0.027 0.221 0.500
0.530 0.351 0.724
0.030 0.649 0.776
0.915 0.168 0.000
0.415 0.832 0.500
```

Properties
size of the total moment = 1.98 μB/f.u.
formation energy (no corrections) = -1.005 eV/atom
calculated total energy = -77.67 eV for the cell shown

=====

The following is a PBE calculation of a geometry-optimized Tm2SiRu structure, from the Alexandria database.

POSCAR file:
```
Tm2SiRu
1.0
3.527 0.000 0.000
0.000 5.958 -0.303
0.000 -3.380 8.125
Tm Si Ru
4 2 2
Direct
0.750 0.213 0.425
0.250 0.787 0.575
0.250 0.785 0.059
0.750 0.215 0.941
0.750 0.650 0.277
0.250 0.350 0.723
0.250 0.338 0.222
0.750 0.662 0.778
```

Properties
size of the total moment = 0.00 μB/f.u.
formation energy (no corrections) = -0.649 eV/atom
calculated total energy = -52.48 eV for the cell shown

=====

The following is a PBE calculation of a geometry-optimized NaNd2PaSb4 structure, from the Alexandria database.

POSCAR file:
```
NaNd2PaSb4
1.0
-1.403 -4.249 -0.451
3.742 -0.522 -6.725
4.782 -2.184 5.700
Na Nd Pa Sb
1 2 1 4
Direct
0.500 0.500 0.000
0.500 0.000 0.500
0.000 0.500 0.500
0.000 0.000 0.000
0.500 0.241 0.238
0.500 0.759 0.762
0.000 0.238 0.757
0.000 0.762 0.243
```

Properties
size of the total moment = 0.00 μB/f.u.
formation energy (no corrections) = -0.736 eV/atom
calculated total energy = -42.72 eV for the cell shown

=====

The following is a PBE calculation of a geometry-optimized Th2MnFe3Ni12 structure, from the Alexandria database.

POSCAR file:
```
Th2MnFe3Ni12
1.0
-4.731 5.221 5.670
-7.781 0.111 4.609
-3.139 0.111 8.481
Th Mn Fe Ni
2 1 3 12
Direct
0.653 0.653 0.653
0.347 0.347 0.347
0.000 0.000 0.000
0.500 0.000 0.000
0.000 0.500 0.000
0.000 0.000 0.500
0.418 0.418 0.809
0.925 0.925 0.357
0.357 0.925 0.925
0.809 0.418 0.418
0.925 0.357 0.925
0.418 0.809 0.418
0.582 0.582 0.191
0.075 0.075 0.643
0.643 0.075 0.075
0.191 0.582 0.582
0.075 0.643 0.075
0.582 0.191 0.582
```

Properties
energy of formation from the pure elements = 0.196 eV per atom
size of the total moment = 15.35 μB/f.u.
calculated total energy = -115.24 eV for the cell shown

=====

The following is a PBE calculation of a geometry-optimized TmCdAg2 structure, from the Alexandria database.

POSCAR file:
```
TmCdAg2
1.0
-1.979 2.629 3.636
-4.838 -0.156 0.787
-1.766 -2.259 3.979
Tm Ag Cd
1 2 1
Direct
0.500 0.500 0.500
0.250 0.250 0.250
0.750 0.750 0.750
0.000 0.000 0.000
```

Properties
energy of formation from the pure elements = -0.263 eV per atom
size of the total moment = 0.00 μB/f.u.
calculated total energy = -12.14 eV for the cell shown

=====

The following is a PBE calculation of a geometry-optimized Cu6Pd12S structure, from the Alexandria database.

POSCAR file:
```
Cu6Pd12S
1.0
-3.454 -4.272 3.851
6.232 -3.164 -1.815
3.963 -1.429 5.865
Cu Pd S
6 12 1
Direct
0.421 0.473 0.212
0.052 0.685 0.527
0.367 0.788 0.685
0.579 0.527 0.788
0.948 0.315 0.473
0.633 0.212 0.315
0.521 0.843 0.271
0.678 0.887 0.843
0.792 0.271 0.887
0.479 0.157 0.729
0.322 0.113 0.157
0.208 0.729 0.113
0.262 0.425 0.629
0.109 0.371 0.054
0.164 0.054 0.575
0.738 0.575 0.371
0.891 0.629 0.946
0.836 0.946 0.425
0.000 0.000 0.000
```

Properties
size of the total moment = 0.00 μB/f.u.
formation energy (no corrections) = -0.031 eV/atom
calculated total energy = -91.60 eV for the cell shown

=====

The following is a PBE calculation of a geometry-optimized LiTiGa structure, from the Alexandria database.

POSCAR file:
```
LiTiGa
1.0
-10.607 0.756 -2.447
-3.920 -0.927 -4.120
3.769 -2.005 3.870
Li Ga Ti
2 2 2
Direct
0.335 0.320 0.680
0.665 0.680 0.320
0.500 0.500 0.500
0.000 0.000 0.000
0.847 0.814 0.186
0.153 0.186 0.814
```

Properties
energy of formation from the pure elements = -0.194 eV per atom
size of the total moment = 0.00 μB/f.u.
calculated total energy = -26.83 eV for the cell shown

=====

The following is a PBE calculation of a geometry-optimized Pm2InP3Rh12 structure, from the Alexandria database.

POSCAR file:
```
Pm2InP3Rh12
1.0
6.527 -1.387 -0.984
2.017 6.361 -0.984
2.017 1.174 6.329
Pm In P Rh
2 1 3 12
Direct
0.625 0.625 0.625
0.375 0.375 0.375
0.000 0.000 0.000
0.500 0.000 0.000
0.000 0.500 0.000
0.000 0.000 0.500
0.366 0.366 0.908
0.827 0.827 0.334
0.334 0.827 0.827
0.908 0.366 0.366
0.827 0.334 0.827
0.366 0.908 0.366
0.634 0.634 0.092
0.173 0.173 0.666
0.666 0.173 0.173
0.092 0.634 0.634
0.173 0.666 0.173
0.634 0.092 0.634
```

Properties
energy of formation from the pure elements = -0.238 eV per atom
size of the total moment = 0.00 μB/f.u.
calculated total energy = -120.97 eV for the cell shown

=====

The following is a PBE calculation of a geometry-optimized MgScTe structure, from the Alexandria database.

POSCAR file:
```
MgScTe
1.0
-3.671 2.535 -2.127
-3.368 -2.360 -2.740
-4.629 -0.494 1.659
Mg Sc Te
1 1 1
Direct
0.500 0.500 0.500
0.750 0.750 0.750
0.000 0.000 0.000
```

Properties
size of the total moment = 0.97 μB/f.u.
formation energy (no corrections) = -0.176 eV/atom
calculated total energy = -11.60 eV for the cell shown

=====

Question: What is the formula in the third record?
Answer: Ta7Mn

=====

Question: size of the total moment of number 9 (Cu6Pd12S)?
Answer: 0.00 μB/f.u.

=====

Question: calculated total energy of number 8 (TmCdAg2)?
Answer: -12.14 eV for the cell shown